First-principles (GGA-PBE) data for LaBeSbI2 after structural relaxation, as listed in Alexandria.

excess energy over the best structure of this formula in the dataset	451	meV/atom
total energy	-3.002	eV per atom
total magnetization	1.99	μB/cell

Lattice parameters (Å, degrees): 6.2877 6.2877 6.5141 90.00 90.00 90.00
Space group P4/mmm (No. 123)
Asymmetric unit:
La 0.0000 0.0000 0.0000
Be 0.5000 0.5000 0.5000
Sb 0.0000 0.0000 0.5000
I 0.0000 0.5000 0.0000



First-principles (GGA-PBE) data for NbAu2F after structural relaxation, as listed in Alexandria.

excess energy over the best structure of this formula in the dataset	72	meV/atom
total energy	-4.714	eV per atom
total magnetization	0.00	μB/cell

Lattice parameters (Å, degrees): 6.4632 6.4632 6.4632 90.00 90.00 90.00
Space group Fm-3m (No. 225)
Asymmetric unit:
Nb 0.0000 0.0000 0.0000
Au 0.2500 0.2500 0.2500
F 0.0000 0.0000 0.5000



First-principles (GGA-PBE) data for RbCd17In after structural relaxation, as listed in Alexandria.

total energy	-1.010	eV per atom
total magnetization	0.00	μB/cell

Lattice parameters (Å, degrees): 10.4427 10.4427 15.1094 90.00 90.00 120.00
Space group R3m (No. 160, hexagonal axes)
Asymmetric unit:
Rb 0.0000 0.0000 0.0000
Cd 0.0000 0.0000 0.2515
Cd 0.0000 0.0000 0.4566
Cd 0.0030 0.2955 0.3413
Cd 0.0146 0.5073 0.1996
Cd 0.0281 0.5140 0.8361
Cd 0.0386 0.5193 0.4860
In 0.0000 0.0000 0.6835



First-principles (GGA-PBE) data for Pm2DyU2Ru5 after structural relaxation, as listed in Alexandria.

total energy	-8.547	eV per atom
total magnetization	0.00	μB/cell

Lattice parameters (Å, degrees): 10.7850 10.7850 3.5642 90.00 90.00 90.00
Space group P4/mbm (No. 127)
Asymmetric unit:
Pm 0.1755 0.3245 0.0000
Dy 0.0000 0.0000 0.0000
U 0.1355 0.6355 0.0000
Ru 0.0000 0.5000 0.5000
Ru 0.0508 0.7848 0.5000



First-principles (GGA-PBE) data for Ba2P after structural relaxation, as listed in Alexandria.

total energy	-3.915	eV per atom
total magnetization	0.00	μB/cell

Lattice parameters (Å, degrees): 4.6553 4.6553 8.1337 90.00 90.00 120.00
Space group P-3m1 (No. 164)
Asymmetric unit:
Ba 0.3333 0.6667 0.2113
P 0.0000 0.0000 0.0000



First-principles (GGA-PBE) data for MnGe3Se after structural relaxation, as listed in Alexandria.

excess energy over the best structure of this formula in the dataset	1310	meV/atom
total energy	-3.853	eV per atom
total magnetization	0.42	μB/cell

Lattice parameters (Å, degrees): 5.0837 5.0837 5.0837 90.00 90.00 90.00
Space group Pm-3m (No. 221)
Asymmetric unit:
Mn 0.0000 0.0000 0.0000
Ge 0.0000 0.5000 0.5000
Se 0.5000 0.5000 0.5000



First-principles (GGA-PBE) data for Ca3Os after structural relaxation, as listed in Alexandria.

total energy	-3.824	eV per atom
total magnetization	0.00	μB/cell

Lattice parameters (Å, degrees): 4.6808 4.6808 4.6808 90.00 90.00 90.00
Space group Pm-3m (No. 221)
Asymmetric unit:
Ca 0.0000 0.0000 0.5000
Os 0.5000 0.5000 0.5000



First-principles (GGA-PBE) data for Cs3Tb2Cl9 after structural relaxation, as listed in Alexandria.

total energy	-4.251	eV per atom
total magnetization	0.00	μB/cell

Lattice parameters (Å, degrees): 13.3886 13.3886 18.9827 90.00 90.00 120.00
Space group R-3c (No. 167, hexagonal axes)
Asymmetric unit:
Cs 0.0000 0.3382 0.2500
Tb 0.0000 0.0000 0.1498
Cl 0.0000 0.1506 0.7500
Cl 0.0064 0.1756 0.4104



First-principles (GGA-PBE) data for Cs4BiSbCl12 after structural relaxation, as listed in Alexandria.

total energy	-3.277	eV per atom
total magnetization	0.00	μB/cell

Lattice parameters (Å, degrees): 10.9302 10.9302 21.7331 90.00 90.00 90.00
Space group I4_1/amd (No. 141, origin choice 2)
Asymmetric unit:
Cs 0.2175 0.0000 0.0000
Bi 0.0000 0.2500 0.8750
Sb 0.0000 0.2500 0.3750
Cl 0.0000 0.9999 0.1293
Cl 0.0000 0.0285 0.3755
Cl 0.0000 0.2500 0.0007
Cl 0.0000 0.2500 0.2638



First-principles (GGA-PBE) data for ZrMoCl4 after structural relaxation, as listed in Alexandria.

total energy	-3.604	eV per atom
total magnetization	23.64	μB/cell

Lattice parameters (Å, degrees): 8.0747 8.0747 8.0747 90.00 90.00 90.00
Space group F-43m (No. 216)
Asymmetric unit:
Zr 0.0000 0.0000 0.0000
Mo 0.2500 0.2500 0.2500
Cl 0.1250 0.1250 0.6250



First-principles (GGA-PBE) data for RbHg2H after structural relaxation, as listed in Alexandria.

excess energy over the best structure of this formula in the dataset	63	meV/atom
total energy	-1.186	eV per atom
total magnetization	0.00	μB/cell

Lattice parameters (Å, degrees): 8.9100 8.9100 5.8618 90.00 90.00 90.00
Space group I-42d (No. 122)
Asymmetric unit:
Rb 0.0000 0.0000 0.0000
Hg 0.1733 0.2500 0.6250
H 0.0000 0.0000 0.5000



First-principles (GGA-PBE) data for Rb3Pa2NbN6 after structural relaxation, as listed in Alexandria.

total energy	-7.762	eV per atom
total magnetization	0.00	μB/cell

Lattice parameters (Å, degrees): 6.0294 10.4447 7.0213 90.00 106.61 90.00
Space group C2/m (No. 12)
Asymmetric unit:
Rb 0.0000 0.0000 0.0000
Rb 0.0000 0.3378 0.0000
Pa 0.0000 0.1668 0.5000
Nb 0.0000 0.5000 0.5000
N 0.2117 0.3404 0.6566
N 0.2328 0.0000 0.6562



Among the records above, which one has the lowest total energy? Pm2DyU2Ru5



The highest total magnetization belongs to which entry? ZrMoCl4